VASP calculation (PBE-GGA) on a geometry-optimized CdInFe2 structure.

Computed properties:
Space group: No. 65
DFT formation energy (kJ per mole of atoms): 32.6
Magnetization (μB/f.u.): 5.15
Total DFT energy (no corrections) (hartree per atom): -0.1767

Cell and atoms, written as CIF:
```
data_CdInFe2
_cell_length_a 4.957
_cell_length_b 4.957
_cell_length_c 2.853
_cell_angle_alpha 90.00
_cell_angle_beta 90.00
_cell_angle_gamma 110.15
_space_group_name_H-M_alt 'P 1'
_space_group_IT_number 1
_space_group_name_Hall 'P 1'
loop_
_atom_site_label
_atom_site_fract_x
_atom_site_fract_y
_atom_site_fract_z
Cd1 0.000 0.000 0.000
In1 0.500 0.500 0.000
Fe1 0.000 0.500 0.500
Fe2 0.500 0.000 0.500
```



VASP calculation (PBE-GGA) on a geometry-optimized CsNa2AsPb structure.

Computed properties:
Space group: No. 123
DFT formation energy (kJ per mole of atoms): 41.8
Magnetization (μB/f.u.): 3.05
Total DFT energy (no corrections) (hartree per atom): -0.0712

Cell and atoms, written as CIF:
```
data_CsNa2AsPb
_cell_length_a 6.019
_cell_length_b 6.019
_cell_length_c 7.103
_cell_angle_alpha 90.00
_cell_angle_beta 90.00
_cell_angle_gamma 90.00
_space_group_name_H-M_alt 'P 1'
_space_group_IT_number 1
_space_group_name_Hall 'P 1'
loop_
_atom_site_label
_atom_site_fract_x
_atom_site_fract_y
_atom_site_fract_z
Cs1 0.000 0.000 0.000
Na1 0.000 0.500 0.500
Na2 0.500 0.000 0.500
As1 0.500 0.500 0.000
Pb1 0.000 0.000 0.500
```



VASP calculation (PBE-GGA) on a geometry-optimized Nb3TeS structure.

Computed properties:
Space group: No. 11
Energy relative to the elements, uncorrected (eV/f.u.): -2.4
Energy relative to the lowest polymorph listed for this composition (meV per atom): 0.0
Magnetization (μB/f.u.): 0.00
Total DFT energy (no corrections) (hartree per atom): -0.2934

Cell and atoms, written as CIF:
```
data_Nb3TeS
_cell_length_a 5.821
_cell_length_b 4.726
_cell_length_c 7.659
_cell_angle_alpha 90.00
_cell_angle_beta 102.98
_cell_angle_gamma 90.00
_space_group_name_H-M_alt 'P 1'
_space_group_IT_number 1
_space_group_name_Hall 'P 1'
loop_
_atom_site_label
_atom_site_fract_x
_atom_site_fract_y
_atom_site_fract_z
Nb1 0.101 0.250 0.095
Nb2 0.376 0.750 0.899
Nb3 0.393 0.750 0.263
Nb4 0.607 0.250 0.737
Nb5 0.624 0.250 0.101
Nb6 0.899 0.750 0.905
Te1 0.095 0.250 0.725
Te2 0.905 0.750 0.275
S1 0.435 0.250 0.369
S2 0.565 0.750 0.631
```



VASP calculation (PBE-GGA) on a geometry-optimized NaSr3O structure.

Computed properties:
Space group: No. 221
Energy relative to the elements, uncorrected (eV/f.u.): 3.1
Energy relative to the lowest polymorph listed for this composition (meV per atom): 1682.1
Magnetization (μB/f.u.): 0.00
Total DFT energy (no corrections) (hartree per atom): -0.0607

Cell and atoms, written as CIF:
```
data_NaSr3O
_cell_length_a 6.263
_cell_length_b 6.263
_cell_length_c 6.263
_cell_angle_alpha 90.00
_cell_angle_beta 90.00
_cell_angle_gamma 90.00
_space_group_name_H-M_alt 'P 1'
_space_group_IT_number 1
_space_group_name_Hall 'P 1'
loop_
_atom_site_label
_atom_site_fract_x
_atom_site_fract_y
_atom_site_fract_z
Na1 0.000 0.000 0.000
Sr1 0.000 0.000 0.500
Sr2 0.000 0.500 0.000
Sr3 0.500 0.000 0.000
O1 0.500 0.500 0.500
```



VASP calculation (PBE-GGA) on a geometry-optimized TbNdTm2Sc4 structure.

Computed properties:
Space group: No. 74
DFT formation energy (kJ per mole of atoms): 42.4
Magnetization (μB/f.u.): 3.32
Total DFT energy (no corrections) (hartree per atom): -0.1844

Cell and atoms, written as CIF:
```
data_TbNdTm2Sc4
_cell_length_a 9.078
_cell_length_b 9.078
_cell_length_c 9.078
_cell_angle_alpha 137.91
_cell_angle_beta 103.26
_cell_angle_gamma 91.64
_space_group_name_H-M_alt 'P 1'
_space_group_IT_number 1
_space_group_name_Hall 'P 1'
loop_
_atom_site_label
_atom_site_fract_x
_atom_site_fract_y
_atom_site_fract_z
Tb1 0.000 0.000 0.000
Tb2 0.500 0.000 0.500
Nd1 0.500 0.000 0.000
Nd2 0.500 0.500 0.500
Tm1 0.000 0.000 0.500
Tm2 0.000 0.500 0.000
Tm3 0.000 0.500 0.500
Tm4 0.500 0.500 0.000
Sc1 0.245 0.748 0.496
Sc2 0.246 0.247 0.501
Sc3 0.246 0.746 0.999
Sc4 0.248 0.252 0.996
Sc5 0.752 0.748 0.004
Sc6 0.754 0.254 0.001
Sc7 0.754 0.753 0.499
Sc8 0.755 0.252 0.504
```



VASP calculation (PBE-GGA) on a geometry-optimized BeGa3Ru structure.

Computed properties:
Space group: No. 221
DFT formation energy (kJ per mole of atoms): 65.7
Energy relative to the lowest polymorph listed for this composition (meV per atom): 223.6
Magnetization (μB/f.u.): 0.80
Total DFT energy (no corrections) (hartree per atom): -0.1373

Cell and atoms, written as CIF:
```
data_BeGa3Ru
_cell_length_a 4.283
_cell_length_b 4.283
_cell_length_c 4.283
_cell_angle_alpha 90.00
_cell_angle_beta 90.00
_cell_angle_gamma 90.00
_space_group_name_H-M_alt 'P 1'
_space_group_IT_number 1
_space_group_name_Hall 'P 1'
loop_
_atom_site_label
_atom_site_fract_x
_atom_site_fract_y
_atom_site_fract_z
Be1 0.000 0.000 0.000
Ga1 0.000 0.000 0.500
Ga2 0.000 0.500 0.000
Ga3 0.500 0.000 0.000
Ru1 0.500 0.500 0.500
```



VASP calculation (PBE-GGA) on a geometry-optimized Ti3Be2Pd5 structure.

Computed properties:
Space group: No. 127
DFT formation energy (kJ per mole of atoms): -48.8
Magnetization (μB/f.u.): 1.39
Total DFT energy (no corrections) (hartree per atom): -0.2284

Cell and atoms, written as CIF:
```
data_Ti3Be2Pd5
_cell_length_a 9.142
_cell_length_b 9.142
_cell_length_c 3.425
_cell_angle_alpha 90.00
_cell_angle_beta 90.00
_cell_angle_gamma 90.00
_space_group_name_H-M_alt 'P 1'
_space_group_IT_number 1
_space_group_name_Hall 'P 1'
loop_
_atom_site_label
_atom_site_fract_x
_atom_site_fract_y
_atom_site_fract_z
Ti1 0.000 0.000 0.000
Ti2 0.175 0.325 0.000
Ti3 0.325 0.825 0.000
Ti4 0.500 0.500 0.000
Ti5 0.675 0.175 0.000
Ti6 0.825 0.675 0.000
Be1 0.121 0.621 0.000
Be2 0.379 0.121 0.000
Be3 0.621 0.879 0.000
Be4 0.879 0.379 0.000
Pd1 0.000 0.500 0.500
Pd2 0.071 0.792 0.500
Pd3 0.208 0.071 0.500
Pd4 0.292 0.571 0.500
Pd5 0.429 0.292 0.500
Pd6 0.500 0.000 0.500
Pd7 0.571 0.708 0.500
Pd8 0.708 0.429 0.500
Pd9 0.792 0.929 0.500
Pd10 0.929 0.208 0.500
```



VASP calculation (PBE-GGA) on a geometry-optimized CdP2H8 structure.

Computed properties:
Space group: No. 15
Magnetization (μB/f.u.): 0.00
Total DFT energy (no corrections) (hartree per atom): -0.1264

Cell and atoms, written as CIF:
```
data_CdP2H8
_cell_length_a 8.308
_cell_length_b 8.308
_cell_length_c 9.027
_cell_angle_alpha 122.66
_cell_angle_beta 122.66
_cell_angle_gamma 35.99
_space_group_name_H-M_alt 'P 1'
_space_group_IT_number 1
_space_group_name_Hall 'P 1'
loop_
_atom_site_label
_atom_site_fract_x
_atom_site_fract_y
_atom_site_fract_z
Cd1 0.030 0.970 0.750
Cd2 0.970 0.030 0.250
P1 0.277 0.464 0.758
P2 0.464 0.277 0.258
P3 0.536 0.723 0.742
P4 0.723 0.536 0.242
H1 0.038 0.142 0.973
H2 0.074 0.486 0.730
H3 0.142 0.038 0.473
H4 0.228 0.408 0.115
H5 0.308 0.473 0.397
H6 0.408 0.228 0.615
H7 0.473 0.308 0.897
H8 0.486 0.074 0.230
H9 0.514 0.926 0.770
H10 0.527 0.692 0.103
H11 0.592 0.772 0.385
H12 0.692 0.527 0.603
H13 0.772 0.592 0.885
H14 0.858 0.962 0.527
H15 0.926 0.514 0.270
H16 0.962 0.858 0.027
```



VASP calculation (PBE-GGA) on a geometry-optimized ScCuP2 structure.

Computed properties:
Space group: No. 6
DFT formation energy (kJ per mole of atoms): -38.6
Magnetization (μB/f.u.): 0.00
Total DFT energy (no corrections) (hartree per atom): -0.2099

Cell and atoms, written as CIF:
```
data_ScCuP2
_cell_length_a 2.918
_cell_length_b 4.478
_cell_length_c 5.093
_cell_angle_alpha 90.00
_cell_angle_beta 104.23
_cell_angle_gamma 90.00
_space_group_name_H-M_alt 'P 1'
_space_group_IT_number 1
_space_group_name_Hall 'P 1'
loop_
_atom_site_label
_atom_site_fract_x
_atom_site_fract_y
_atom_site_fract_z
Sc1 0.000 0.000 0.000
Cu1 0.602 0.500 0.366
P1 0.450 0.500 0.867
P2 0.700 0.000 0.455
```



VASP calculation (PBE-GGA) on a geometry-optimized CeIn2 structure.

Computed properties:
Space group: No. 12
DFT formation energy (kJ per mole of atoms): -30.6
Magnetization (μB/f.u.): 0.81
Total DFT energy (no corrections) (hartree per atom): -0.1514

Cell and atoms, written as CIF:
```
data_CeIn2
_cell_length_a 5.905
_cell_length_b 5.905
_cell_length_c 6.717
_cell_angle_alpha 108.78
_cell_angle_beta 108.78
_cell_angle_gamma 46.67
_space_group_name_H-M_alt 'P 1'
_space_group_IT_number 1
_space_group_name_Hall 'P 1'
loop_
_atom_site_label
_atom_site_fract_x
_atom_site_fract_y
_atom_site_fract_z
Ce1 0.161 0.161 0.331
Ce2 0.839 0.839 0.669
In1 0.170 0.170 0.835
In2 0.500 0.500 0.000
In3 0.500 0.500 0.500
In4 0.830 0.830 0.165
```



VASP calculation (PBE-GGA) on a geometry-optimized La2Pr4Nd2Th structure.

Computed properties:
Space group: No. 12
DFT formation energy (kJ per mole of atoms): 1.7
Magnetization (μB/f.u.): 0.00
Total DFT energy (no corrections) (hartree per atom): -0.1869

Cell and atoms, written as CIF:
```
data_La2Pr4Nd2Th
_cell_length_a 9.879
_cell_length_b 9.879
_cell_length_c 9.916
_cell_angle_alpha 115.24
_cell_angle_beta 115.24
_cell_angle_gamma 21.69
_space_group_name_H-M_alt 'P 1'
_space_group_IT_number 1
_space_group_name_Hall 'P 1'
loop_
_atom_site_label
_atom_site_fract_x
_atom_site_fract_y
_atom_site_fract_z
La1 0.162 0.162 0.000
La2 0.838 0.838 0.000
Pr1 0.017 0.017 0.323
Pr2 0.317 0.317 0.670
Pr3 0.683 0.683 0.330
Pr4 0.983 0.983 0.677
Nd1 0.352 0.352 0.332
Nd2 0.648 0.648 0.668
Th1 0.500 0.500 0.000
```



VASP calculation (PBE-GGA) on a geometry-optimized NiRhPb2 structure.

Computed properties:
Space group: No. 99
DFT formation energy (kJ per mole of atoms): 12.6
Energy relative to the lowest polymorph listed for this composition (meV per atom): 72.3
Magnetization (μB/f.u.): 0.05
Total DFT energy (no corrections) (hartree per atom): -0.1840

Cell and atoms, written as CIF:
```
data_NiRhPb2
_cell_length_a 3.297
_cell_length_b 3.297
_cell_length_c 7.766
_cell_angle_alpha 90.00
_cell_angle_beta 90.00
_cell_angle_gamma 90.00
_space_group_name_H-M_alt 'P 1'
_space_group_IT_number 1
_space_group_name_Hall 'P 1'
loop_
_atom_site_label
_atom_site_fract_x
_atom_site_fract_y
_atom_site_fract_z
Ni1 0.000 0.000 0.000
Rh1 0.500 0.500 0.832
Pb1 0.000 0.000 0.611
Pb2 0.500 0.500 0.204
```